Density functional theory data (PBE+U) for a relaxed structure of NbMo2O8.

Geometry as POSCAR:
```
NbMo2O8
1.0
5.237 -3.808 0.000
5.237 3.808 0.000
-0.800 0.000 5.302
Nb Mo O
1 2 8
direct
0.000 0.000 0.000
0.192 0.192 0.658
0.808 0.808 0.342
0.062 0.717 0.174
0.134 0.134 0.314
0.283 0.938 0.826
0.357 0.357 0.726
0.643 0.643 0.274
0.717 0.062 0.174
0.866 0.866 0.686
0.938 0.283 0.826
```

Results
Space group ... C2/m
Size of the total moment ... 1.017 μB/cell
VASP energy ... -7.4309 eV per atom